Model a:
# CoAgNO

Crystalline CoAgNO at its relaxed geometry (PBE with a Hubbard U, OQMD).

abc: 3.871 3.871 7.090
angles: 90.00 90.00 89.97
Sites, in units of the cell vectors:
Ag  0.750  0.250  0.500
Ag  0.250  0.750  0.500
Co  0.750  0.750  0.089
Co  0.250  0.250  0.911
N  0.750  0.750  0.336
N  0.250  0.250  0.664
O  0.750  0.250  0.000
O  0.250  0.750  0.000

Computed properties:
For the total moment, the calculation gives 3.0 μB per formula unit.

=====

Model b:
# CoAgNO

Crystalline CoAgNO at its relaxed geometry (PBE with a Hubbard U, OQMD).

abc: 4.981 5.387 7.197
angles: 90.00 90.00 90.00
Sites, in units of the cell vectors:
Ag  0.051  0.525  0.355
Ag  0.551  0.975  0.355
Ag  0.051  0.025  0.645
Ag  0.551  0.475  0.645
Co  0.966  0.085  0.116
Co  0.466  0.415  0.116
Co  0.966  0.585  0.884
Co  0.466  0.915  0.884
N  0.605  0.106  0.067
N  0.105  0.394  0.067
N  0.605  0.606  0.933
N  0.105  0.894  0.933
O  0.580  0.530  0.336
O  0.080  0.970  0.336
O  0.580  0.030  0.664
O  0.080  0.470  0.664

Computed properties:
For the total moment, the calculation gives 1.0 μB per formula unit.

=====

The winner here is model b, beating the second structure by 55 meV per atom.

=====

Model a:
# CoAgNO

Crystalline CoAgNO at its relaxed geometry (PBE with a Hubbard U, OQMD).

abc: 3.821 3.821 6.704
angles: 90.00 90.00 90.00
Sites, in units of the cell vectors:
Ag  0.250  0.250  0.143
Ag  0.750  0.750  0.857
Co  0.750  0.250  0.500
Co  0.250  0.750  0.500
N  0.750  0.750  0.453
N  0.250  0.250  0.547
O  0.750  0.250  0.000
O  0.250  0.750  0.000

Computed properties:
For the total moment, the calculation gives 2.3 μB per formula unit.

=====

Model b:
# CoAgNO

Crystalline CoAgNO at its relaxed geometry (PBE with a Hubbard U, OQMD).

abc: 3.095 5.441 5.946
angles: 90.00 90.00 90.00
Sites, in units of the cell vectors:
Ag  0.000  0.527  0.387
Ag  0.000  0.027  0.613
Co  0.500  0.991  0.136
Co  0.500  0.491  0.864
N  0.000  0.900  0.275
N  0.000  0.400  0.725
O  0.500  0.335  0.139
O  0.500  0.835  0.861

Computed properties:
For the total moment, the calculation gives 2.0 μB per formula unit.

=====

The winner here is model b, beating the second structure by 329 meV per atom.